Version 1
A geometry-optimized Tb4AgRu structure, computed with PBE-GGA.

Computed properties:
Calculated density in g cm⁻³: 8.11
Total magnetic moment in Bohr magnetons per cell: 0.0
Density of states at the Fermi level in states/eV/cell: 11.17

Structure (CIF):
```
data_Tb4AgRu
_space_group_name_H-M_alt 'P 1 21/c 1'
_space_group_IT_number 14
_cell_length_a 7.1641
_cell_length_b 6.9317
_cell_length_c 6.9866
_cell_angle_alpha 90.00
_cell_angle_beta 94.45
_cell_angle_gamma 90.00
loop_
_space_group_symop_operation_xyz
'x,y,z'
'-x,-y,-z'
'-x,y+1/2,-z+1/2'
'x,-y+1/2,z+1/2'
loop_
_atom_site_label
_atom_site_type_symbol
_atom_site_fract_x
_atom_site_fract_y
_atom_site_fract_z
Tb1 Tb 0.1496 0.1639 0.1875
Tb2 Tb 0.3191 0.6565 0.1400
Ag1 Ag 0.5000 0.0000 0.0000
Ru1 Ru 0.0000 0.0000 0.5000
```

---

Version 2
A geometry-optimized Tb4AgRu structure, computed with PBE-GGA.

Computed properties:
Calculated density in g cm⁻³: 9.04
Total magnetic moment in Bohr magnetons per cell: 0.0
Density of states at the Fermi level in states/eV/cell: 116.61

Structure (CIF):
```
data_Tb4AgRu
_space_group_name_H-M_alt 'F -4 3 m'
_space_group_IT_number 216
_space_group_name_Hall 'F -4 2 3'
_cell_length_a 13.5383
_cell_length_b 13.5383
_cell_length_c 13.5383
_cell_angle_alpha 90.00
_cell_angle_beta 90.00
_cell_angle_gamma 90.00
loop_
_atom_site_label
_atom_site_type_symbol
_atom_site_fract_x
_atom_site_fract_y
_atom_site_fract_z
Tb1 Tb 0.0000 0.0000 0.1885
Tb2 Tb 0.0601 0.2500 0.7500
Tb3 Tb 0.0981 0.0981 0.4019
Ag1 Ag 0.1683 0.1683 0.1683
Ru1 Ru 0.1107 0.1107 0.6107
```

---

Which of them is least stable? Easy: version 1.

---

Version 1
A geometry-optimized Tb12AgRu6 structure, computed with PBE-GGA.

Computed properties:
Calculated density in g cm⁻³: 8.41
Total magnetic moment in Bohr magnetons per cell: 0.0
Density of states at the Fermi level in states/eV/cell: 38.65

Structure (CIF):
```
data_Tb12AgRu6
_space_group_name_H-M_alt 'R -3'
_space_group_IT_number 148
_space_group_name_Hall '-R 3'
_cell_length_a 12.7064
_cell_length_b 12.7064
_cell_length_c 11.1051
_cell_angle_alpha 90.00
_cell_angle_beta 90.00
_cell_angle_gamma 120.00
loop_
_atom_site_label
_atom_site_type_symbol
_atom_site_fract_x
_atom_site_fract_y
_atom_site_fract_z
Tb1 Tb 0.0325 0.8265 0.3830
Tb2 Tb 0.0346 0.8137 0.8857
Ag1 Ag 0.0000 0.0000 0.0000
Ru1 Ru 0.0483 0.7881 0.6478
```

---

Version 2
A geometry-optimized Tb12AgRu6 structure, computed with PBE-GGA.

Computed properties:
Calculated density in g cm⁻³: 9.13
Total magnetic moment in Bohr magnetons per cell: 0.0
Density of states at the Fermi level in states/eV/cell: 35.90

Structure (CIF):
```
data_Tb12AgRu6
_space_group_name_H-M_alt 'I m -3'
_space_group_IT_number 204
_space_group_name_Hall '-I 2 2 3'
_cell_length_a 9.8442
_cell_length_b 9.8442
_cell_length_c 9.8442
_cell_angle_alpha 90.00
_cell_angle_beta 90.00
_cell_angle_gamma 90.00
loop_
_atom_site_label
_atom_site_type_symbol
_atom_site_fract_x
_atom_site_fract_y
_atom_site_fract_z
Tb1 Tb 0.0000 0.2956 0.1959
Ag1 Ag 0.0000 0.0000 0.0000
Ru1 Ru 0.0000 0.1243 0.5000
```

---

Which of them is least stable? Easy: version 1.

---

Version 1
A geometry-optimized TbTmAgRu structure, computed with PBE-GGA.

Computed properties:
Calculated density in g cm⁻³: 10.28
Total magnetic moment in Bohr magnetons per cell: 0.0
Density of states at the Fermi level in states/eV/cell: 2.54

Structure (CIF):
```
data_TbTmAgRu
_space_group_name_H-M_alt 'P 4 m m'
_space_group_IT_number 99
_cell_length_a 3.4041
_cell_length_b 3.4041
_cell_length_c 7.4851
_cell_angle_alpha 90.00
_cell_angle_beta 90.00
_cell_angle_gamma 90.00
loop_
_space_group_symop_operation_xyz
'x,y,z'
'-y,x,z'
'-x,-y,z'
'y,-x,z'
'-x,y,z'
'y,x,z'
'x,-y,z'
'-y,-x,z'
loop_
_atom_site_label
_atom_site_type_symbol
_atom_site_fract_x
_atom_site_fract_y
_atom_site_fract_z
Tb1 Tb 0.0000 0.0000 0.0000
Tm1 Tm 0.0000 0.0000 0.5561
Ag1 Ag 0.5000 0.5000 0.2871
Ru1 Ru 0.5000 0.5000 0.7726
```

---

Version 2
A geometry-optimized TbTmAgRu structure, computed with PBE-GGA.

Computed properties:
Calculated density in g cm⁻³: 10.47
Total magnetic moment in Bohr magnetons per cell: 0.0
Density of states at the Fermi level in states/eV/cell: 8.81

Structure (CIF):
```
data_TbTmAgRu
_space_group_name_H-M_alt 'F -4 3 m'
_space_group_IT_number 216
_space_group_name_Hall 'F -4 2 3'
_cell_length_a 6.9841
_cell_length_b 6.9841
_cell_length_c 6.9841
_cell_angle_alpha 90.00
_cell_angle_beta 90.00
_cell_angle_gamma 90.00
loop_
_atom_site_label
_atom_site_type_symbol
_atom_site_fract_x
_atom_site_fract_y
_atom_site_fract_z
Tb1 Tb 0.0000 0.0000 0.0000
Tm1 Tm 0.0000 0.0000 0.5000
Ag1 Ag 0.2500 0.2500 0.7500
Ru1 Ru 0.2500 0.2500 0.2500
```

---

Which of them is least stable? Easy: version 2.

---

Version 1
A geometry-optimized TcAgRu structure, computed with PBE-GGA.

Computed properties:
Calculated density in g cm⁻³: 11.13
Total magnetic moment in Bohr magnetons per cell: 0.0
Density of states at the Fermi level in states/eV/cell: 5.65

Structure (CIF):
```
data_TcAgRu
_space_group_name_H-M_alt 'I m m 2'
_space_group_IT_number 44
_cell_length_a 2.8052
_cell_length_b 3.7871
_cell_length_c 8.6206
_cell_angle_alpha 90.00
_cell_angle_beta 90.00
_cell_angle_gamma 90.00
loop_
_space_group_symop_operation_xyz
'x,y,z'
'-x,-y,z'
'-x,y,z'
'x,-y,z'
'x+1/2,y+1/2,z+1/2'
'-x+1/2,-y+1/2,z+1/2'
'-x+1/2,y+1/2,z+1/2'
'x+1/2,-y+1/2,z+1/2'
loop_
_atom_site_label
_atom_site_type_symbol
_atom_site_fract_x
_atom_site_fract_y
_atom_site_fract_z
Tc1 Tc 0.0000 0.0000 0.0000
Ag1 Ag 0.0000 0.0000 0.6802
Ru1 Ru 0.0000 0.0000 0.3600
```

---

Version 2
A geometry-optimized TcAgRu structure, computed with PBE-GGA.

Computed properties:
Calculated density in g cm⁻³: 10.83
Total magnetic moment in Bohr magnetons per cell: 0.0
Density of states at the Fermi level in states/eV/cell: 6.07

Structure (CIF):
```
data_TcAgRu
_space_group_name_H-M_alt 'I 4 m m'
_space_group_IT_number 107
_space_group_name_Hall 'I 4 -2'
_cell_length_a 2.8257
_cell_length_b 2.8257
_cell_length_c 11.7929
_cell_angle_alpha 90.00
_cell_angle_beta 90.00
_cell_angle_gamma 90.00
loop_
_atom_site_label
_atom_site_type_symbol
_atom_site_fract_x
_atom_site_fract_y
_atom_site_fract_z
Tc1 Tc 0.0000 0.0000 0.0000
Ag1 Ag 0.0000 0.0000 0.6841
Ru1 Ru 0.0000 0.0000 0.3667
```

---

Version 3
A geometry-optimized TcAgRu structure, computed with PBE-GGA.

Computed properties:
Calculated density in g cm⁻³: 10.78
Total magnetic moment in Bohr magnetons per cell: 1.0
Density of states at the Fermi level in states/eV/cell: 13.11

Structure (CIF):
```
data_TcAgRu
_space_group_name_H-M_alt 'F m m 2'
_space_group_IT_number 42
_space_group_name_Hall 'F 2 -2'
_cell_length_a 2.8494
_cell_length_b 4.6055
_cell_length_c 14.4075
_cell_angle_alpha 90.00
_cell_angle_beta 90.00
_cell_angle_gamma 90.00
loop_
_atom_site_label
_atom_site_type_symbol
_atom_site_fract_x
_atom_site_fract_y
_atom_site_fract_z
Tc1 Tc 0.0000 0.0000 0.0000
Ag1 Ag 0.0000 0.0000 0.3229
Ru1 Ru 0.0000 0.0000 0.6469
```

---

Which of them is least stable? Easy: version 3.